(1)
A plane-wave DFT calculation with SCAN was carried out for a PBEsol-optimized structure of P2RhOF.

Cell and atoms, written as CIF:
```
data_P2RhOF
_chemical_formula_sum 'P2 Rh1 O1 F1'
_cell_length_a 3.9415
_cell_length_b 3.9415
_cell_length_c 4.0355
_cell_angle_alpha 90.00
_cell_angle_beta 90.00
_cell_angle_gamma 90.00
_space_group_name_H-M_alt 'P 4/m m m'
_space_group_IT_number 123
_space_group_name_Hall '-P 4 2'
loop_
_atom_site_label
_atom_site_fract_x
_atom_site_fract_y
_atom_site_fract_z
_atom_site_occupancy
P1 0.0000 0.5000 0.0000 1
Rh1 0.0000 0.0000 0.5000 1
O1 0.5000 0.5000 0.5000 1
F1 0.5000 0.5000 0.0000 1
```

Properties
energy relative to the elements, uncorrected	0.82	eV/atom
ρ	5.29	g/cm³
density of states at the Fermi level	2.78	states/eV/f.u.
final energy	-12.0503	eV per atom
spin magnetization	1.323	μB/cell

(2)
A plane-wave DFT calculation with SCAN was carried out for a PBEsol-optimized structure of PSO2F.

Cell and atoms, written as CIF:
```
data_PSO2F
_chemical_formula_sum 'P1 S1 O2 F1'
_cell_length_a 4.1181
_cell_length_b 4.1181
_cell_length_c 3.6607
_cell_angle_alpha 90.00
_cell_angle_beta 90.00
_cell_angle_gamma 90.00
_space_group_name_H-M_alt 'P 4/m m m'
_space_group_IT_number 123
_space_group_name_Hall '-P 4 2'
loop_
_atom_site_label
_atom_site_fract_x
_atom_site_fract_y
_atom_site_fract_z
_atom_site_occupancy
P1 0.0000 0.0000 0.0000 1
S1 0.5000 0.5000 0.0000 1
O1 0.0000 0.5000 0.5000 1
F1 0.0000 0.0000 0.5000 1
```

Properties
energy relative to the elements, uncorrected	1.13	eV/atom
ρ	3.05	g/cm³
density of states at the Fermi level	2.40	states/eV/f.u.
final energy	-6.0802	eV per atom
spin magnetization	4.071	μB/cell

(3)
A plane-wave DFT calculation with SCAN was carried out for a PBEsol-optimized structure of PSeO2F.

Cell and atoms, written as CIF:
```
data_PSeO2F
_chemical_formula_sum 'P1 Se1 O2 F1'
_cell_length_a 3.9336
_cell_length_b 3.9336
_cell_length_c 4.1817
_cell_angle_alpha 90.00
_cell_angle_beta 90.00
_cell_angle_gamma 90.00
_space_group_name_H-M_alt 'P 4/m m m'
_space_group_IT_number 123
_space_group_name_Hall '-P 4 2'
loop_
_atom_site_label
_atom_site_fract_x
_atom_site_fract_y
_atom_site_fract_z
_atom_site_occupancy
P1 0.0000 0.0000 0.0000 1
Se1 0.5000 0.5000 0.5000 1
O1 0.0000 0.5000 0.5000 1
F1 0.5000 0.5000 0.0000 1
```

Properties
energy relative to the elements, uncorrected	0.18	eV/atom
ρ	4.13	g/cm³
density of states at the Fermi level	1.86	states/eV/f.u.
final energy	-9.1147	eV per atom
spin magnetization	1.912	μB/cell

(4)
A plane-wave DFT calculation with SCAN was carried out for a PBEsol-optimized structure of SnPO4F.

Cell and atoms, written as CIF:
```
data_SnPO4F
_chemical_formula_sum 'Sn4 P4 O16 F4'
_cell_length_a 7.7600
_cell_length_b 6.4064
_cell_length_c 7.3290
_cell_angle_alpha 90.00
_cell_angle_beta 90.00
_cell_angle_gamma 90.00
_space_group_name_H-M_alt 'P n m a'
_space_group_IT_number 62
loop_
_space_group_symop_operation_xyz
'x,y,z'
'-x,-y,-z'
'-x+1/2,-y,z+1/2'
'x+1/2,y,-z+1/2'
'x+1/2,-y+1/2,-z+1/2'
'-x+1/2,y+1/2,z+1/2'
'-x,y+1/2,-z'
'x,-y+1/2,z'
loop_
_atom_site_label
_atom_site_fract_x
_atom_site_fract_y
_atom_site_fract_z
_atom_site_occupancy
Sn1 0.1280 0.2500 0.2455 1
P1 0.1281 0.7500 0.1251 1
O1 0.0406 0.2500 0.9868 1
O2 0.1308 0.5612 0.2550 1
O3 0.2104 0.2500 0.5040 1
F1 0.1202 0.7500 0.6522 1
```

Properties
energy relative to the elements, uncorrected	-2.29	eV/atom
ρ	4.24	g/cm³
density of states at the Fermi level	0.00	states/eV/f.u.
final energy	-12.9694	eV per atom
spin magnetization	0.000	μB/cell